Entry 1:
# Y2ErTm PBE relaxed
data_Y2ErTm
_chemical_formula_sum 'Y2 Er1 Tm1'
_space_group_name_H-M_alt 'P 1'
_space_group_IT_number 1
_cell_length_a 11.565
_cell_length_b 11.565
_cell_length_c 11.565
_cell_angle_alpha 17.74
_cell_angle_beta 17.74
_cell_angle_gamma 17.74
loop_
_space_group_symop_operation_xyz
'x,y,z'
loop_
_atom_site_label
_atom_site_fract_x
_atom_site_fract_y
_atom_site_fract_z
_atom_site_occupancy
Y1 0.000 0.000 0.000 1
Y2 0.166 0.166 0.166 1
Er1 0.417 0.417 0.417 1
Tm1 0.583 0.583 0.583 1
# Calculated volume (Å³/f.u.): 125.3
# Energy of formation from the pure elements (eV per formula unit): 0.05
# Electronic total energy (eV/atom): -5.477
# Space-group type: R3m, No. 160



Entry 2:
# Th4RhAuS2 PBE relaxed
data_Th4RhAuS2
_chemical_formula_sum 'Th4 Rh1 Au1 S2'
_space_group_name_H-M_alt 'P 1'
_space_group_IT_number 1
_cell_length_a 7.150
_cell_length_b 4.119
_cell_length_c 7.377
_cell_angle_alpha 90.00
_cell_angle_beta 108.62
_cell_angle_gamma 90.00
loop_
_space_group_symop_operation_xyz
'x,y,z'
loop_
_atom_site_label
_atom_site_fract_x
_atom_site_fract_y
_atom_site_fract_z
_atom_site_occupancy
Th1 0.233 0.000 0.242 1
Th2 0.237 0.500 0.745 1
Th3 0.763 0.500 0.255 1
Th4 0.767 0.000 0.758 1
Rh1 0.000 0.000 0.500 1
Au1 0.500 0.500 0.500 1
S1 0.000 0.500 0.000 1
S2 0.500 0.000 0.000 1
# Calculated volume (Å³/f.u.): 205.9
# Uncorrected formation energy (eV/atom): -1.19
# Electronic total energy (eV/atom): -7.263
# Space-group type: P2/m, No. 10



Entry 3:
# Dy2HoEr3Te6 PBE relaxed
data_Dy2HoEr3Te6
_chemical_formula_sum 'Dy2 Ho1 Er3 Te6'
_space_group_name_H-M_alt 'P 1'
_space_group_IT_number 1
_cell_length_a 9.689
_cell_length_b 9.689
_cell_length_c 8.705
_cell_angle_alpha 103.19
_cell_angle_beta 103.19
_cell_angle_gamma 25.72
loop_
_space_group_symop_operation_xyz
'x,y,z'
loop_
_atom_site_label
_atom_site_fract_x
_atom_site_fract_y
_atom_site_fract_z
_atom_site_occupancy
Dy1 0.167 0.167 0.333 1
Dy2 0.833 0.833 0.667 1
Ho1 0.500 0.500 0.000 1
Er1 0.167 0.167 0.832 1
Er2 0.500 0.500 0.500 1
Er3 0.833 0.833 0.168 1
Te1 0.001 0.001 0.749 1
Te2 0.333 0.333 0.920 1
Te3 0.334 0.334 0.416 1
Te4 0.666 0.666 0.584 1
Te5 0.667 0.667 0.080 1
Te6 0.999 0.999 0.251 1
# Calculated volume (Å³/f.u.): 344.8
# Uncorrected formation energy (eV/atom): -1.24
# Electronic total energy (eV/atom): -5.099
# Space-group type: C2/m, No. 12



Entry 4:
# NaPb3I PBE relaxed
data_NaPb3I
_chemical_formula_sum 'Na1 Pb3 I1'
_space_group_name_H-M_alt 'P 1'
_space_group_IT_number 1
_cell_length_a 6.083
_cell_length_b 6.083
_cell_length_c 6.083
_cell_angle_alpha 90.00
_cell_angle_beta 90.00
_cell_angle_gamma 90.00
loop_
_space_group_symop_operation_xyz
'x,y,z'
loop_
_atom_site_label
_atom_site_fract_x
_atom_site_fract_y
_atom_site_fract_z
_atom_site_occupancy
Na1 0.000 0.000 0.000 1
Pb1 0.000 0.500 0.500 1
Pb2 0.500 0.000 0.500 1
Pb3 0.500 0.500 0.000 1
I1 0.500 0.500 0.500 1
# Calculated volume (Å³/f.u.): 225.1
# Uncorrected formation energy (eV/atom): 0.45
# Electronic total energy (eV/atom): -2.348
# Space-group type: Pm-3m, No. 221



Entry 5:
# PuCdRu4 PBE relaxed
data_PuCdRu4
_chemical_formula_sum 'Pu1 Cd1 Ru4'
_space_group_name_H-M_alt 'P 1'
_space_group_IT_number 1
_cell_length_a 5.268
_cell_length_b 5.268
_cell_length_c 5.268
_cell_angle_alpha 60.00
_cell_angle_beta 60.00
_cell_angle_gamma 60.00
loop_
_space_group_symop_operation_xyz
'x,y,z'
loop_
_atom_site_label
_atom_site_fract_x
_atom_site_fract_y
_atom_site_fract_z
_atom_site_occupancy
Pu1 0.000 0.000 0.000 1
Cd1 0.750 0.750 0.750 1
Ru1 0.376 0.376 0.376 1
Ru2 0.376 0.376 0.873 1
Ru3 0.376 0.873 0.376 1
Ru4 0.873 0.376 0.376 1
# Calculated volume (Å³/f.u.): 103.4
# Energy of formation from the pure elements (eV per formula unit): 0.58
# Electronic total energy (eV/atom): -8.628
# Space-group type: F-43m, No. 216



Entry 6:
# TbPmHo2Tm PBE relaxed
data_TbPmHo2Tm
_chemical_formula_sum 'Tb2 Pm2 Ho4 Tm2'
_space_group_name_H-M_alt 'P 1'
_space_group_IT_number 1
_cell_length_a 7.072
_cell_length_b 7.072
_cell_length_c 7.180
_cell_angle_alpha 90.00
_cell_angle_beta 90.00
_cell_angle_gamma 107.50
loop_
_space_group_symop_operation_xyz
'x,y,z'
loop_
_atom_site_label
_atom_site_fract_x
_atom_site_fract_y
_atom_site_fract_z
_atom_site_occupancy
Tb1 0.002 0.998 0.750 1
Tb2 0.998 0.002 0.250 1
Pm1 0.273 0.727 0.750 1
Pm2 0.727 0.273 0.250 1
Ho1 0.311 0.311 0.000 1
Ho2 0.311 0.311 0.500 1
Ho3 0.689 0.689 0.000 1
Ho4 0.689 0.689 0.500 1
Tm1 0.278 0.722 0.250 1
Tm2 0.722 0.278 0.750 1
# Calculated volume (Å³/f.u.): 171.2
# Energy of formation from the pure elements (eV per formula unit): 1.99
# Electronic total energy (eV/atom): -4.204
# Space-group type: Cmcm, No. 63



Entry 7:
# FeRuSe2 PBE relaxed
data_FeRuSe2
_chemical_formula_sum 'Fe1 Ru1 Se2'
_space_group_name_H-M_alt 'P 1'
_space_group_IT_number 1
_cell_length_a 4.046
_cell_length_b 4.046
_cell_length_c 5.594
_cell_angle_alpha 103.01
_cell_angle_beta 103.01
_cell_angle_gamma 46.03
loop_
_space_group_symop_operation_xyz
'x,y,z'
loop_
_atom_site_label
_atom_site_fract_x
_atom_site_fract_y
_atom_site_fract_z
_atom_site_occupancy
Fe1 0.000 0.000 0.000 1
Ru1 0.500 0.500 0.500 1
Se1 0.250 0.250 0.750 1
Se2 0.750 0.750 0.250 1
# Calculated volume (Å³/f.u.): 63.9
# Uncorrected formation energy (eV/atom): 0.19
# Electronic total energy (eV/atom): -5.991
# Space-group type: C2/m, No. 12



Entry 8:
# Bi3TePt PBE relaxed
data_Bi3TePt
_chemical_formula_sum 'Bi6 Te2 Pt2'
_space_group_name_H-M_alt 'P 1'
_space_group_IT_number 1
_cell_length_a 6.691
_cell_length_b 6.691
_cell_length_c 7.333
_cell_angle_alpha 105.63
_cell_angle_beta 105.63
_cell_angle_gamma 85.15
loop_
_space_group_symop_operation_xyz
'x,y,z'
loop_
_atom_site_label
_atom_site_fract_x
_atom_site_fract_y
_atom_site_fract_z
_atom_site_occupancy
Bi1 0.005 0.005 0.285 1
Bi2 0.047 0.499 0.242 1
Bi3 0.499 0.047 0.242 1
Bi4 0.501 0.953 0.758 1
Bi5 0.953 0.501 0.758 1
Bi6 0.995 0.995 0.715 1
Te1 0.441 0.441 0.721 1
Te2 0.559 0.559 0.279 1
Pt1 0.295 0.295 0.979 1
Pt2 0.705 0.705 0.021 1
# Calculated volume (Å³/f.u.): 152.2
# Uncorrected formation energy (eV/atom): -0.11
# Electronic total energy (eV/atom): -4.271
# Space-group type: C2/m, No. 12



Entry 9:
# Tb3Mg12Zr PBE relaxed
data_Tb3Mg12Zr
_chemical_formula_sum 'Tb3 Mg12 Zr1'
_space_group_name_H-M_alt 'P 1'
_space_group_IT_number 1
_cell_length_a 4.619
_cell_length_b 4.619
_cell_length_c 18.505
_cell_angle_alpha 90.00
_cell_angle_beta 90.00
_cell_angle_gamma 90.00
loop_
_space_group_symop_operation_xyz
'x,y,z'
loop_
_atom_site_label
_atom_site_fract_x
_atom_site_fract_y
_atom_site_fract_z
_atom_site_occupancy
Tb1 0.000 0.000 0.000 1
Tb2 0.000 0.000 0.259 1
Tb3 0.000 0.000 0.741 1
Mg1 0.000 0.500 0.129 1
Mg2 0.000 0.500 0.385 1
Mg3 0.000 0.500 0.615 1
Mg4 0.000 0.500 0.871 1
Mg5 0.500 0.000 0.129 1
Mg6 0.500 0.000 0.385 1
Mg7 0.500 0.000 0.615 1
Mg8 0.500 0.000 0.871 1
Mg9 0.500 0.500 0.000 1
Mg10 0.500 0.500 0.257 1
Mg11 0.500 0.500 0.500 1
Mg12 0.500 0.500 0.743 1
Zr1 0.000 0.000 0.500 1
# Calculated volume (Å³/f.u.): 394.9
# Energy of formation from the pure elements (eV per formula unit): -0.59
# Electronic total energy (eV/atom): -2.636
# Space-group type: P4/mmm, No. 123



Entry 10:
# AcPm7Sm4 PBE relaxed
data_AcPm7Sm4
_chemical_formula_sum 'Ac1 Pm7 Sm4'
_space_group_name_H-M_alt 'P 1'
_space_group_IT_number 1
_cell_length_a 6.927
_cell_length_b 6.927
_cell_length_c 12.843
_cell_angle_alpha 115.45
_cell_angle_beta 115.45
_cell_angle_gamma 53.36
loop_
_space_group_symop_operation_xyz
'x,y,z'
loop_
_atom_site_label
_atom_site_fract_x
_atom_site_fract_y
_atom_site_fract_z
_atom_site_occupancy
Ac1 0.000 0.000 0.000 1
Pm1 0.127 0.127 0.497 1
Pm2 0.280 0.280 0.337 1
Pm3 0.297 0.297 0.081 1
Pm4 0.500 0.500 0.000 1
Pm5 0.703 0.703 0.919 1
Pm6 0.720 0.720 0.663 1
Pm7 0.873 0.873 0.503 1
Sm1 0.144 0.144 0.776 1
Sm2 0.429 0.429 0.680 1
Sm3 0.571 0.571 0.320 1
Sm4 0.856 0.856 0.224 1
# Calculated volume (Å³/f.u.): 433.6
# Energy of formation from the pure elements (eV per formula unit): 3.14
# Electronic total energy (eV/atom): -4.425
# Space-group type: C2/m, No. 12



Entry 11:
# Li2SmTm2Sb2 PBE relaxed
data_Li2SmTm2Sb2
_chemical_formula_sum 'Li2 Sm1 Tm2 Sb2'
_space_group_name_H-M_alt 'P 1'
_space_group_IT_number 1
_cell_length_a 9.239
_cell_length_b 9.239
_cell_length_c 9.239
_cell_angle_alpha 29.63
_cell_angle_beta 29.63
_cell_angle_gamma 29.63
loop_
_space_group_symop_operation_xyz
'x,y,z'
loop_
_atom_site_label
_atom_site_fract_x
_atom_site_fract_y
_atom_site_fract_z
_atom_site_occupancy
Li1 0.089 0.089 0.089 1
Li2 0.911 0.911 0.911 1
Sm1 0.500 0.500 0.500 1
Tm1 0.368 0.368 0.368 1
Tm2 0.632 0.632 0.632 1
Sb1 0.238 0.238 0.238 1
Sb2 0.762 0.762 0.762 1
# Calculated volume (Å³/f.u.): 170.7
# Uncorrected formation energy (eV/atom): -0.53
# Electronic total energy (eV/atom): -4.209
# Space-group type: R-3m, No. 166



Entry 12:
# Al2ZnRh PBE relaxed
data_Al2ZnRh
_chemical_formula_sum 'Al2 Zn1 Rh1'
_space_group_name_H-M_alt 'P 1'
_space_group_IT_number 1
_cell_length_a 8.619
_cell_length_b 8.619
_cell_length_c 8.619
_cell_angle_alpha 19.33
_cell_angle_beta 19.33
_cell_angle_gamma 19.33
loop_
_space_group_symop_operation_xyz
'x,y,z'
loop_
_atom_site_label
_atom_site_fract_x
_atom_site_fract_y
_atom_site_fract_z
_atom_site_occupancy
Al1 0.000 0.000 0.000 1
Al2 0.243 0.243 0.243 1
Zn1 0.488 0.488 0.488 1
Rh1 0.740 0.740 0.740 1
# Calculated volume (Å³/f.u.): 61.3
# Energy of formation from the pure elements (eV per formula unit): -1.19
# Electronic total energy (eV/atom): -4.324
# Space-group type: R3m, No. 160